An optimized crystal structure of Ca4TlGaHg2. Source: the Alexandria database, functional GGA-PBE.

Summary:
Calculated total energy ... -53.961 eV/cell

Lattice parameters (Å, degrees): 5.3638 5.3638 26.2808 90.00 90.00 120.00
Space group R-3m (No. 166, hexagonal axes)
Inequivalent atoms, fractional coordinates:
1 Ca 0.0000 0.0000 0.1219 [6 per cell]
2 Ca 0.0000 0.0000 0.3723 [6 per cell]
3 Tl 0.0000 0.0000 0.5000 [3 per cell]
4 Ga 0.0000 0.0000 0.0000 [3 per cell]
5 Hg 0.0000 0.0000 0.2493 [6 per cell]